# LaCr2Re

A geometry-optimized LaCr2Re structure (PBE, Alexandria).

a = 3.0082 Å, b = 3.0082 Å, c = 26.9805 Å
α = 90.00°, β = 90.00°, γ = 120.00°
Space group R-3m (No. 166, hexagonal axes)
One atom of each set of equivalent atoms:
La 0.0000 0.0000 0.0000
Cr 0.0000 0.0000 0.2334
Re 0.0000 0.0000 0.5000

Summary:
* mass density: 10.11 g/cm³
* total moment: 4.93 μB per cell
* E above lowest polymorph: 0.434 eV/atom
* DOS at the Fermi energy: 1.596 states/eV per atom
* energy of formation from the pure elements: 0.7986 eV/atom